No. 1
Computed, not measured: HfZrSc5 after structural relaxation at the PBE-GGA level of DFT.

Properties
V: 23.736 Å³ per atom
symmetry: No. 15
excess energy over the best structure of this formula in the dataset: 130 kJ/mol of formula units

a b c (Å): 6.0761 6.0761 12.2963
angles (deg): 61.93 61.93 60.88
Last column: nearest neighbours and their distance in Å.
Element x y z (fractional)
Sc 0.1618 0.4029 0.7454  1 Zr 2.68, 1 Sc 2.97, 1 Hf 3.00
Sc 0.6986 0.6466 0.0032  3 Sc 2.97-3.18, 2 Zr 3.20-3.24
Sc 0.3014 0.3534 0.9968  3 Sc 2.97-3.18, 2 Zr 3.20-3.24
Sc 0.7258 0.2742 0.7500  1 Zr 2.67, 2 Sc 2.98
Sc 0.6466 0.6986 0.5032  3 Sc 2.97-3.18, 2 Zr 3.20-3.24
Sc 0.4029 0.1618 0.2454  1 Zr 2.68, 1 Sc 2.97, 1 Hf 3.00
Sc 0.8382 0.5971 0.2546  1 Zr 2.68, 1 Sc 2.97, 1 Hf 3.00
Sc 0.2742 0.7258 0.2500  1 Zr 2.67, 2 Sc 2.98
Sc 0.5971 0.8382 0.7546  1 Zr 2.68, 1 Sc 2.97, 1 Hf 3.00
Sc 0.3534 0.3014 0.4968  3 Sc 2.97-3.18, 2 Zr 3.20-3.24
Hf 0.0000 0.0000 0.0000  2 Sc 3.00, 2 Zr 3.23
Hf 0.0000 0.0000 0.5000  2 Sc 3.00, 2 Zr 3.23
Zr 0.8408 0.1592 0.2500  3 Sc 2.67-2.68
Zr 0.1592 0.8408 0.7500  3 Sc 2.67-2.68

No. 2
Computed, not measured: Hf2Zr7Sc after structural relaxation at the PBE-GGA level of DFT.

Properties
V: 23.092 Å³ per atom
symmetry: No. 2
final energy: -8.56 eV per atom

a b c (Å): 4.9336 7.9831 8.4540
angles (deg): 118.08 72.93 128.19
Last column: nearest neighbours and their distance in Å.
Element x y z (fractional)
Hf 0.5012 0.7038 0.4053  5 Zr 2.85-3.14
Hf 0.4988 0.2962 0.5947  5 Zr 2.85-3.14
Zr 0.7524 0.1476 0.7910  8 Zr 3.10-3.31, 3 Hf 3.25-3.28, 2 Sc 3.32
Zr 0.0010 0.2027 0.4034  4 Hf 2.85-3.14, 1 Sc 3.01
Zr 0.9990 0.7973 0.5966  4 Hf 2.85-3.14, 1 Sc 3.01
Zr 0.7533 0.3591 0.2094  8 Zr 3.10-3.30, 3 Hf 3.26-3.29, 2 Sc 3.33
Zr 0.5000 0.5000 0.0000  2 Hf 3.02, 2 Sc 3.14, 8 Zr 3.30-3.31
Zr 0.2467 0.6409 0.7906  8 Zr 3.10-3.30, 3 Hf 3.26-3.29, 2 Sc 3.33
Zr 0.2476 0.8524 0.2090  8 Zr 3.10-3.31, 3 Hf 3.25-3.28, 2 Sc 3.32
Sc 0.0000 0.0000 0.0000  12 Zr 3.01-3.33

No. 3
Computed, not measured: HfZr3Sc2 after structural relaxation at the PBE-GGA level of DFT.

Properties
V: 24.192 Å³ per atom
symmetry: No. 36
excess energy over the best structure of this formula in the dataset: 201 kJ/mol of formula units

a b c (Å): 5.0086 7.8754 7.8754
angles (deg): 110.85 90.00 90.00
Last column: nearest neighbours and their distance in Å.
Element x y z (fractional)
Zr 0.4264 0.9209 0.9209  3 Hf 2.86-3.11, 4 Zr 2.88-2.97
Zr 0.0617 0.8980 0.3400  3 Sc 2.93-3.03, 3 Zr 2.97-3.29
Zr 0.5617 0.6600 0.1020  3 Sc 2.93-3.03, 3 Zr 2.97-3.29
Zr 0.0617 0.3400 0.8980  3 Sc 2.93-3.03, 3 Zr 2.97-3.29
Zr 0.9264 0.0791 0.0791  3 Hf 2.86-3.11, 4 Zr 2.88-2.97
Zr 0.5617 0.1020 0.6600  3 Sc 2.93-3.03, 3 Zr 2.97-3.29
Sc 0.4758 0.4840 0.7039  3 Sc 2.85-3.02, 3 Zr 2.93-3.03, 1 Hf 3.09
Sc 0.4758 0.7039 0.4840  3 Sc 2.85-3.02, 3 Zr 2.93-3.03, 1 Hf 3.09
Sc 0.9758 0.5160 0.2961  3 Sc 2.85-3.02, 3 Zr 2.93-3.03, 1 Hf 3.09
Sc 0.9758 0.2961 0.5160  3 Sc 2.85-3.02, 3 Zr 2.93-3.03, 1 Hf 3.09
Hf 0.9565 0.7392 0.7392  3 Zr 2.86-3.11, 2 Sc 3.09
Hf 0.4565 0.2608 0.2608  3 Zr 2.86-3.11, 2 Sc 3.09

No. 4
Computed, not measured: Hf3Zr3Sc2 after structural relaxation at the PBE-GGA level of DFT.

Properties
V: 23.434 Å³ per atom
symmetry: No. 2
final energy: -8.44 eV per atom

a b c (Å): 3.1881 7.8934 16.5707
angles (deg): 90.96 112.62 101.64
Last column: nearest neighbours and their distance in Å.
Element x y z (fractional)
Hf 0.9340 0.0177 0.0875  4 Zr 2.81-3.09, 2 Hf 3.10
Hf 0.1483 0.7239 0.7680  3 Sc 3.04-3.41, 5 Zr 3.09-3.40, 4 Hf 3.19-3.24
Hf 0.8517 0.2761 0.2320  3 Sc 3.04-3.41, 5 Zr 3.09-3.40, 4 Hf 3.19-3.24
Hf 0.0650 0.9375 0.4232  4 Hf 2.92-3.19, 5 Zr 2.92-3.22, 2 Sc 3.08
Hf 0.9350 0.0625 0.5768  4 Hf 2.92-3.19, 5 Zr 2.92-3.22, 2 Sc 3.08
Hf 0.0660 0.9823 0.9125  4 Zr 2.81-3.09, 2 Hf 3.10
Sc 0.2698 0.6080 0.3581  3 Hf 3.04-3.08, 3 Zr 3.11-3.15, 2 Sc 3.19
Sc 0.3742 0.6206 0.1570  4 Sc 3.19-3.48, 6 Zr 3.23-3.34, 2 Hf 3.40-3.41
Sc 0.7301 0.3920 0.6419  3 Hf 3.04-3.08, 3 Zr 3.11-3.15, 2 Sc 3.19
Sc 0.6258 0.3793 0.8430  4 Sc 3.19-3.48, 6 Zr 3.23-3.34, 2 Hf 3.40-3.41
Zr 0.7502 0.0546 0.7364  5 Hf 2.81-3.09, 1 Sc 3.11
Zr 0.2419 0.6997 0.5705  5 Hf 3.05-3.40, 2 Sc 3.15, 2 Zr 3.19
Zr 0.2499 0.9454 0.2636  5 Hf 2.81-3.09, 1 Sc 3.11
Zr 0.7581 0.3003 0.4295  5 Hf 3.05-3.40, 2 Sc 3.15, 2 Zr 3.19
Zr 0.4745 0.3290 0.0302  3 Zr 2.89-3.19, 4 Hf 3.07-3.16, 2 Sc 3.23-3.24
Zr 0.5255 0.6710 0.9698  3 Zr 2.89-3.19, 4 Hf 3.07-3.16, 2 Sc 3.23-3.24

No. 5
Computed, not measured: Hf4ZrSc after structural relaxation at the PBE-GGA level of DFT.

Properties
V: 22.876 Å³ per atom
symmetry: No. 15
excess energy over the best structure of this formula in the dataset: 71 kJ/mol of formula units

a b c (Å): 5.4932 5.8728 9.0123
angles (deg): 70.97 89.08 87.16
Last column: nearest neighbours and their distance in Å.
Element x y z (fractional)
Sc 0.2500 0.2869 0.9262  4 Zr 2.94-3.04, 6 Hf 3.10-3.21
Sc 0.7500 0.7131 0.0738  4 Zr 2.94-3.04, 6 Hf 3.10-3.21
Zr 0.7500 0.2106 0.0788  4 Sc 2.94-3.04, 6 Hf 2.97-3.22
Zr 0.2500 0.7894 0.9212  4 Sc 2.94-3.04, 6 Hf 2.97-3.22
Hf 0.8517 0.1261 0.7475  5 Hf 2.94-3.19, 2 Zr 2.97-3.22, 2 Sc 3.10-3.21
Hf 0.8655 0.2925 0.3955  7 Hf 2.94-3.27, 1 Zr 3.12, 1 Sc 3.18
Hf 0.3655 0.1880 0.6045  7 Hf 2.94-3.27, 1 Zr 3.12, 1 Sc 3.19
Hf 0.1345 0.7075 0.6045  7 Hf 2.94-3.27, 1 Zr 3.12, 1 Sc 3.18
Hf 0.1483 0.8739 0.2525  5 Hf 2.94-3.19, 2 Zr 2.97-3.22, 2 Sc 3.10-3.21
Hf 0.6483 0.6265 0.7475  5 Hf 2.94-3.19, 2 Zr 2.97-3.22, 2 Sc 3.10-3.21
Hf 0.3517 0.3735 0.2525  5 Hf 2.94-3.19, 2 Zr 2.97-3.22, 2 Sc 3.10-3.21
Hf 0.6345 0.8120 0.3955  7 Hf 2.94-3.27, 1 Zr 3.12, 1 Sc 3.19

No. 6
Computed, not measured: Hf2ZrSc5 after structural relaxation at the PBE-GGA level of DFT.

Properties
V: 24.251 Å³ per atom
symmetry: No. 13
final energy: -7.39 eV per atom

a b c (Å): 3.1876 8.1450 16.2554
angles (deg): 90.00 66.84 90.00
Last column: nearest neighbours and their distance in Å.
Element x y z (fractional)
Sc 0.5000 0.5510 0.5000  4 Hf 3.07-3.08, 2 Zr 3.12, 2 Sc 3.19
Sc 0.6163 0.1909 0.1911  3 Hf 3.08-3.20, 5 Sc 3.13-3.40, 2 Zr 3.32
Sc 0.3837 0.1909 0.8089  3 Hf 3.08-3.20, 5 Sc 3.13-3.40, 2 Zr 3.32
Sc 0.1163 0.8091 0.6911  3 Hf 3.08-3.20, 5 Sc 3.13-3.40, 2 Zr 3.32
Sc 0.2139 0.8381 0.8915  2 Hf 3.12, 6 Sc 3.13-3.40, 2 Zr 3.22-3.24
Sc 0.8837 0.8091 0.3089  3 Hf 3.08-3.20, 5 Sc 3.13-3.40, 2 Zr 3.32
Sc 0.7139 0.1619 0.3915  2 Hf 3.12, 6 Sc 3.13-3.40, 2 Zr 3.22-3.24
Sc 0.0000 0.4490 0.0000  4 Hf 3.07-3.08, 2 Zr 3.12, 2 Sc 3.19
Sc 0.7861 0.8381 0.1085  2 Hf 3.12, 6 Sc 3.13-3.40, 2 Zr 3.22-3.24
Sc 0.2861 0.1619 0.6085  2 Hf 3.12, 6 Sc 3.13-3.40, 2 Zr 3.22-3.24
Hf 0.8406 0.5291 0.8294  4 Hf 2.90-3.19, 7 Sc 3.07-3.20
Hf 0.1594 0.5291 0.1706  4 Hf 2.90-3.19, 7 Sc 3.07-3.20
Hf 0.6594 0.4709 0.6706  4 Hf 2.90-3.19, 7 Sc 3.07-3.20
Hf 0.3406 0.4709 0.3294  4 Hf 2.90-3.19, 7 Sc 3.07-3.20
Zr 0.0000 0.8801 0.5000  10 Sc 3.12-3.32, 2 Zr 3.19
Zr 0.5000 0.1199 0.0000  10 Sc 3.12-3.32, 2 Zr 3.19

No. 7
Computed, not measured: HfZr3Sc3 after structural relaxation at the PBE-GGA level of DFT.

Properties
V: 23.529 Å³ per atom
symmetry: No. 12
excess energy over the best structure of this formula in the dataset: 0 kJ/mol of formula units

a b c (Å): 5.8996 5.8995 14.9436
angles (deg): 88.77 63.59 50.02
Last column: nearest neighbours and their distance in Å.
Element x y z (fractional)
Sc 0.0566 0.1114 0.3515  1 Zr 2.89, 3 Sc 2.91-3.18
Sc 0.4928 0.1906 0.5661  5 Sc 2.91-3.22, 1 Zr 3.18
Sc 0.2939 0.4611 0.3891  4 Zr 3.13-3.45, 10 Sc 3.22-3.50
Sc 0.7061 0.5389 0.6109  4 Zr 3.13-3.45, 10 Sc 3.22-3.50
Sc 0.9434 0.8886 0.6485  1 Zr 2.89, 3 Sc 2.91-3.18
Sc 0.5072 0.8094 0.4339  5 Sc 2.91-3.22, 1 Zr 3.18
Zr 0.8474 0.3940 0.1822  3 Hf 3.01-3.28, 3 Sc 3.13-3.27, 6 Zr 3.23-3.35
Zr 0.9297 0.2610 0.7771  2 Sc 2.89-3.18, 3 Zr 2.92-3.23, 1 Hf 3.11
Zr 0.1526 0.6060 0.8178  3 Hf 3.01-3.28, 3 Sc 3.13-3.27, 6 Zr 3.23-3.35
Zr 0.0703 0.7390 0.2229  2 Sc 2.89-3.18, 3 Zr 2.92-3.23, 1 Hf 3.11
Zr 0.3615 0.9606 0.8663  3 Zr 2.92-3.25, 3 Hf 2.98-3.10
Zr 0.6385 0.0394 0.1337  3 Zr 2.92-3.25, 3 Hf 2.98-3.10
Hf 0.3791 0.3391 0.9867  8 Zr 2.98-3.28, 1 Hf 3.13
Hf 0.6209 0.6609 0.0133  8 Zr 2.98-3.28, 1 Hf 3.13

No. 8
Computed, not measured: HfZr3Sc4 after structural relaxation at the PBE-GGA level of DFT.

Properties
V: 23.335 Å³ per atom
symmetry: No. 12
excess energy over the best structure of this formula in the dataset: 27 kJ/mol of formula units

a b c (Å): 3.2205 11.7883 6.4416
angles (deg): 114.19 60.07 114.19
Last column: nearest neighbours and their distance in Å.
Element x y z (fractional)
Zr 0.2089 0.0008 0.8961  6 Sc 3.19-3.22, 6 Zr 3.22
Zr 0.2076 0.9992 0.3953  6 Sc 3.19-3.22, 6 Zr 3.22
Zr 0.7085 0.5000 0.6460  6 Sc 3.18-3.19, 2 Zr 3.22, 4 Hf 3.22
Sc 0.2915 0.7482 0.4359  2 Hf 3.18, 4 Zr 3.18-3.22, 6 Sc 3.22-3.23
Sc 0.1244 0.2500 0.3540  5 Zr 3.19-3.20, 1 Hf 3.19, 6 Sc 3.22-3.23
Sc 0.2922 0.7500 0.9376  5 Zr 3.19-3.20, 1 Hf 3.19, 6 Sc 3.22-3.23
Sc 0.1251 0.2518 0.8558  2 Hf 3.18, 4 Zr 3.18-3.22, 6 Sc 3.22-3.23
Hf 0.7085 0.5000 0.1460  6 Sc 3.18-3.19, 2 Hf 3.22, 4 Zr 3.22

No. 9
Computed, not measured: HfZr5Sc6 after structural relaxation at the PBE-GGA level of DFT.

Properties
V: 23.344 Å³ per atom
symmetry: No. 12
final energy: -7.52 eV per atom

a b c (Å): 5.5159 5.5210 10.7793
angles (deg): 85.07 80.09 60.03
Last column: nearest neighbours and their distance in Å.
Element x y z (fractional)
Sc 0.5849 0.3325 0.2490  6 Sc 3.18-3.19, 1 Hf 3.22, 5 Zr 3.22-3.24
Sc 0.0826 0.3325 0.7510  6 Sc 3.18-3.19, 1 Hf 3.22, 5 Zr 3.22-3.24
Sc 0.4151 0.6675 0.7510  6 Sc 3.18-3.19, 1 Hf 3.22, 5 Zr 3.22-3.24
Sc 0.7502 0.0000 0.7511  6 Sc 3.18-3.19, 1 Hf 3.22, 5 Zr 3.22-3.24
Sc 0.2498 0.0000 0.2489  6 Sc 3.18-3.19, 1 Hf 3.22, 5 Zr 3.22-3.24
Sc 0.9174 0.6675 0.2490  6 Sc 3.18-3.19, 1 Hf 3.22, 5 Zr 3.22-3.24
Hf 0.0000 0.0000 0.0000  6 Zr 3.19, 6 Sc 3.22
Zr 0.1669 0.6661 0.5000  6 Zr 3.18-3.19, 6 Sc 3.24
Zr 0.5000 0.0000 0.5000  6 Zr 3.19, 6 Sc 3.24
Zr 0.3333 0.3334 0.0000  3 Zr 3.19, 3 Hf 3.19, 6 Sc 3.22
Zr 0.8331 0.3339 0.5000  6 Zr 3.18-3.19, 6 Sc 3.24
Zr 0.6667 0.6666 0.0000  3 Zr 3.19, 3 Hf 3.19, 6 Sc 3.22

No. 10
Computed, not measured: Hf3Zr4Sc4 after structural relaxation at the PBE-GGA level of DFT.

Properties
V: 23.056 Å³ per atom
symmetry: No. 2
final energy: -8.08 eV per atom

a b c (Å): 4.5191 3.1946 17.7859
angles (deg): 95.20 97.30 90.01
Last column: nearest neighbours and their distance in Å.
Element x y z (fractional)
Sc 0.5451 0.5450 0.0904  5 Hf 3.16-3.19, 3 Sc 3.18-3.19, 4 Zr 3.21-3.22
Sc 0.1811 0.1808 0.3624  6 Zr 3.14-3.21, 2 Sc 3.19, 4 Hf 3.20
Sc 0.4548 0.4550 0.9095  5 Hf 3.16-3.19, 3 Sc 3.18-3.19, 4 Zr 3.21-3.22
Sc 0.8189 0.8193 0.6376  6 Zr 3.14-3.21, 2 Sc 3.19, 4 Hf 3.20
Hf 0.6351 0.6349 0.2705  5 Zr 3.16-3.25, 5 Sc 3.16-3.20, 2 Hf 3.19
Hf 0.0000 0.0000 0.0000  8 Sc 3.19, 2 Hf 3.19, 2 Zr 3.23
Hf 0.3649 0.3652 0.7295  5 Zr 3.16-3.25, 5 Sc 3.16-3.20, 2 Hf 3.19
Zr 0.9083 0.9086 0.8163  5 Sc 3.14-3.22, 5 Hf 3.16-3.23, 2 Zr 3.19
Zr 0.0917 0.0914 0.1837  5 Sc 3.14-3.22, 5 Hf 3.16-3.23, 2 Zr 3.19
Zr 0.2724 0.2727 0.5447  6 Zr 3.18-3.19, 5 Sc 3.20-3.21, 1 Hf 3.25
Zr 0.7276 0.7274 0.4553  6 Zr 3.18-3.19, 5 Sc 3.20-3.21, 1 Hf 3.25

No. 11
Computed, not measured: Hf2Zr2Sc after structural relaxation at the PBE-GGA level of DFT.

Properties
V: 23.596 Å³ per atom
symmetry: No. 127
excess energy over the best structure of this formula in the dataset: 0 kJ/mol of formula units

a b c (Å): 8.0634 8.0634 3.6291
angles (deg): 90.00 90.00 90.00
Last column: nearest neighbours and their distance in Å.
Element x y z (fractional)
Zr 0.3364 0.1636 0.5000  6 Hf 2.96-3.00
Zr 0.1636 0.6636 0.5000  6 Hf 2.96-3.00
Zr 0.6636 0.8364 0.5000  6 Hf 2.96-3.00
Zr 0.8364 0.3364 0.5000  6 Hf 2.96-3.00
Sc 0.0000 0.0000 0.0000  4 Hf 3.16, 8 Zr 3.52
Sc 0.5000 0.5000 0.0000  4 Hf 3.16, 8 Zr 3.52
Hf 0.8690 0.6310 0.0000  6 Zr 2.96-3.00, 1 Hf 2.99, 2 Sc 3.16
Hf 0.1310 0.3690 0.0000  6 Zr 2.96-3.00, 1 Hf 2.99, 2 Sc 3.16
Hf 0.3690 0.8690 0.0000  6 Zr 2.96-3.00, 1 Hf 2.99, 2 Sc 3.16
Hf 0.6310 0.1310 0.0000  6 Zr 2.96-3.00, 1 Hf 2.99, 2 Sc 3.16